No. 1
# ZrZn2Tc SCAN single point on PBEsol structure
# Polymorph energy (0 for the lowest one)   0.44 eV per formula unit
# V   61.3 Å³ per cell
# Formation enthalpy at 0 K   -0.190 eV per atom
# Calculated density   8.67 Mg/m³
# Total DFT energy (no corrections)   -93.55 eV per cell
data_ZrZn2Tc
_cell_length_a 2.7153
_cell_length_b 4.0954
_cell_length_c 5.5116
_cell_angle_alpha 90.00
_cell_angle_beta 91.60
_cell_angle_gamma 90.00
_space_group_name_H-M_alt 'P 1 2/m 1'
_space_group_IT_number 10
loop_
_space_group_symop_operation_xyz
'x,y,z'
'-x,-y,-z'
'-x,y,-z'
'x,-y,z'
loop_
_atom_site_label
_atom_site_type_symbol
_atom_site_fract_x
_atom_site_fract_y
_atom_site_fract_z
Zr1 Zr 0.0000 0.0000 0.0000
Zn1 Zn 0.4956 0.5000 0.7251
Tc1 Tc 0.0000 0.0000 0.5000

---

No. 2
# TaTc2Ru SCAN single point on PBEsol structure
# Polymorph energy (0 for the lowest one)   0.00 eV per formula unit
# V   118.1 Å³ per cell
# Formation enthalpy at 0 K   -0.026 eV per atom
# Calculated density   13.45 Mg/m³
# Total DFT energy (no corrections)   -343.26 eV per cell
data_TaTc2Ru
_cell_length_a 9.1076
_cell_length_b 2.7862
_cell_length_c 4.7281
_cell_angle_alpha 90.00
_cell_angle_beta 100.25
_cell_angle_gamma 90.00
_space_group_name_H-M_alt 'C 1 m 1'
_space_group_IT_number 8
loop_
_space_group_symop_operation_xyz
'x,y,z'
'x,-y,z'
'x+1/2,y+1/2,z'
'x+1/2,-y+1/2,z'
loop_
_atom_site_label
_atom_site_type_symbol
_atom_site_fract_x
_atom_site_fract_y
_atom_site_fract_z
Ta1 Ta 0.0000 0.0000 0.0000
Tc1 Tc 0.2381 0.0000 0.7192
Tc2 Tc 0.4938 0.0000 0.4969
Ru1 Ru 0.2541 0.5000 0.2502

---

No. 3
# ScHg2Os SCAN single point on PBEsol structure
# Polymorph energy (0 for the lowest one)   0.00 eV per formula unit
# V   71.0 Å³ per cell
# Formation enthalpy at 0 K   0.045 eV per atom
# Calculated density   14.88 Mg/m³
# Total DFT energy (no corrections)   -222.27 eV per cell
data_ScHg2Os
_cell_length_a 4.0747
_cell_length_b 4.0747
_cell_length_c 4.2768
_cell_angle_alpha 90.00
_cell_angle_beta 90.00
_cell_angle_gamma 90.00
_space_group_name_H-M_alt 'P 4/m m m'
_space_group_IT_number 123
_space_group_name_Hall '-P 4 2'
loop_
_atom_site_label
_atom_site_type_symbol
_atom_site_fract_x
_atom_site_fract_y
_atom_site_fract_z
Sc1 Sc 0.0000 0.0000 0.0000
Hg1 Hg 0.0000 0.5000 0.5000
Os1 Os 0.5000 0.5000 0.0000

---

Q: Which of these has the lowest V?
A: ZrZn2Tc